CsCeMn2Cl8: optimized geometry, PBE-GGA.

Computed properties:
Calculated density: 2.82 g/cm³
Total magnetization: 0.9167 μB per atom
Formation energy (no corrections): -1.61 eV per atom
SG: R-3, No. 148

Cell: 6.695 6.695 10.838 Å, 72.01 72.01 60.00°
Atoms (fractional coordinates):
1 Cs 0.500 0.500 0.500
2 Ce 0.000 0.000 0.000
3 Mn 0.252 0.252 0.243
4 Mn 0.748 0.748 0.757
5 Cl 0.178 0.178 0.467
6 Cl 0.612 0.283 0.162
7 Cl 0.822 0.822 0.533
8 Cl 0.943 0.612 0.162
9 Cl 0.057 0.388 0.838
10 Cl 0.283 0.943 0.162
11 Cl 0.717 0.057 0.838
12 Cl 0.388 0.717 0.838

***

ErZr3Al8: optimized geometry, PBE-GGA.

Computed properties:
Calculated density: 4.98 g/cm³
Total magnetization: 0.0000 μB per atom
SG: P3m1, No. 156
Energy of formation: -518 meV per atom

Cell: 5.342 5.342 8.867 Å, 90.00 90.00 120.00°
Atoms (fractional coordinates):
1 Er 0.000 0.000 0.565
2 Zr 0.667 0.333 0.428
3 Zr 0.667 0.333 0.066
4 Zr 0.000 0.000 0.936
5 Al 0.333 0.667 0.499
6 Al 0.333 0.667 0.001
7 Al 0.504 0.008 0.755
8 Al 0.504 0.496 0.755
9 Al 0.992 0.496 0.755
10 Al 0.163 0.326 0.247
11 Al 0.163 0.837 0.247
12 Al 0.674 0.837 0.247

***

AlTlHg2: optimized geometry, PBE-GGA.

Computed properties:
Calculated density: 10.36 g/cm³
Total magnetization: 0.0000 μB per atom
SG: F-43m, No. 216
Energy of formation: 229 meV per atom

Cell: 5.234 5.234 5.234 Å, 60.00 60.00 60.00°
Atoms (fractional coordinates):
1 Tl 0.250 0.250 0.250
2 Hg 0.000 0.000 0.000
3 Hg 0.750 0.750 0.750
4 Al 0.500 0.500 0.500

***

Pm2Al3Os: optimized geometry, PBE-GGA.

Computed properties:
Calculated density: 7.76 g/cm³
Total magnetization: 0.0000 μB per atom
SG: R-3m, No. 166
Energy of formation: -438 meV per atom

Cell: 5.587 5.587 5.490 Å, 90.00 120.60 119.99°
Atoms (fractional coordinates):
1 Pm 0.746 0.373 0.119
2 Pm 0.254 0.627 0.881
3 Al 0.500 0.500 0.500
4 Al 0.000 0.000 0.500
5 Al 0.500 0.000 0.500
6 Os 0.000 0.000 0.000

***

Al2Cd2Bi: optimized geometry, PBE-GGA.

Computed properties:
Calculated density: 7.01 g/cm³
Total magnetization: 0.0000 μB per atom
SG: P4/mbm, No. 127
Energy of formation: 194 meV per atom

Cell: 8.318 8.318 3.340 Å, 90.00 90.00 90.00°
Atoms (fractional coordinates):
1 Al 0.384 0.884 0.000
2 Al 0.884 0.616 0.000
3 Al 0.616 0.116 0.000
4 Al 0.116 0.384 0.000
5 Bi 0.000 0.000 0.000
6 Bi 0.500 0.500 0.000
7 Cd 0.184 0.684 0.500
8 Cd 0.684 0.816 0.500
9 Cd 0.816 0.316 0.500
10 Cd 0.316 0.184 0.500

***

Sb4Te7Pb: optimized geometry, PBE-GGA.

Computed properties:
Calculated density: 6.46 g/cm³
Total magnetization: 0.0000 μB per atom
Formation energy (no corrections): -0.17 eV per atom
SG: P-3m1, No. 164

Cell: 4.384 4.384 24.516 Å, 90.00 90.00 120.00°
Atoms (fractional coordinates):
1 Pb 0.000 0.000 0.000
2 Sb 0.667 0.333 0.420
3 Sb 0.333 0.667 0.837
4 Sb 0.667 0.333 0.163
5 Sb 0.333 0.667 0.580
6 Te 0.000 0.000 0.500
7 Te 0.333 0.667 0.351
8 Te 0.667 0.333 0.649
9 Te 0.000 0.000 0.231
10 Te 0.000 0.000 0.769
11 Te 0.667 0.333 0.917
12 Te 0.333 0.667 0.083

***

Repeat the first record exactly.
CsCeMn2Cl8: optimized geometry, PBE-GGA.

Computed properties:
Calculated density: 2.82 g/cm³
Total magnetization: 0.9167 μB per atom
Formation energy (no corrections): -1.61 eV per atom
SG: R-3, No. 148

Cell: 6.695 6.695 10.838 Å, 72.01 72.01 60.00°
Atoms (fractional coordinates):
1 Cs 0.500 0.500 0.500
2 Ce 0.000 0.000 0.000
3 Mn 0.252 0.252 0.243
4 Mn 0.748 0.748 0.757
5 Cl 0.178 0.178 0.467
6 Cl 0.612 0.283 0.162
7 Cl 0.822 0.822 0.533
8 Cl 0.943 0.612 0.162
9 Cl 0.057 0.388 0.838
10 Cl 0.283 0.943 0.162
11 Cl 0.717 0.057 0.838
12 Cl 0.388 0.717 0.838